VASP calculation (PBE) on SrPuSb2 after structural relaxation. Values from VASP.

## Properties
polymorph energy (0 for the lowest one): 3.10 kcal/mol of atoms
formation energy (no corrections): -56.5 kJ/mol of atoms

```
&SYSTEM
  ibrav = 0, nat = 4, ntyp = 3
/
ATOMIC_SPECIES
Pu 244.00 Pu.upf
Sr 87.62 Sr.upf
Sb 121.76 Sb.upf
CELL_PARAMETERS angstrom
5.5558 0.0000 0.0000
2.7779 4.8115 0.0000
2.7779 1.6038 4.5363
ATOMIC_POSITIONS angstrom
Pu 5.5558 3.2077 2.2682
Sr 0.0000 0.0000 0.0000
Sb 8.3338 4.8115 3.4022
Sb 2.7779 1.6038 1.1341
```

VASP calculation (PBE) on Mg2Cd3In6 after structural relaxation. Values from VASP.

## Properties
ΔH_f (0 K): -0.0197 eV per atom

```
&SYSTEM
  ibrav = 0, nat = 11, ntyp = 3
/
ATOMIC_SPECIES
In 114.82 In.upf
Mg 24.30 Mg.upf
Cd 112.41 Cd.upf
CELL_PARAMETERS angstrom
5.7371 -0.5076 -0.5301
-1.3432 4.1299 1.4060
0.2247 2.8043 12.6902
ATOMIC_POSITIONS angstrom
In 2.4940 1.5839 4.6205
In 2.1245 4.8426 8.9456
Mg 3.2366 4.1057 11.8269
Mg 1.3820 2.3208 1.7392
Cd 3.8658 3.8949 6.3437
Cd 0.0000 0.0000 0.0000
In 4.8275 3.0469 9.2863
In 0.4996 5.8578 11.5960
In -0.2090 3.3797 4.2798
In 4.1189 0.5687 1.9701
Cd 0.7528 2.5317 7.2224
```

VASP calculation (PBE) on La2PrTmSe6 after structural relaxation. Values from VASP.

## Properties
formation energy (no corrections): -183.7 kJ/mol of atoms

```
&SYSTEM
  ibrav = 0, nat = 10, ntyp = 4
/
ATOMIC_SPECIES
Se 78.96 Se.upf
Pr 140.91 Pr.upf
La 138.91 La.upf
Tm 168.93 Tm.upf
CELL_PARAMETERS angstrom
-2.3873 -6.5909 2.6626
4.6273 -5.8995 0.1049
2.7690 -2.4714 6.9264
ATOMIC_POSITIONS angstrom
Se 0.8544 -7.0897 7.1056
Pr 0.8618 -4.0668 1.2647
Se 3.9035 -5.1225 5.5243
La 2.6326 -2.5853 6.5211
Se 0.1629 -5.8766 3.4647
La 2.3857 -7.5805 4.4940
Se 1.3664 -10.3799 4.3297
Se 4.5280 -7.4041 2.4248
Se 4.2922 -8.9455 6.4708
Tm 3.3421 -11.5686 6.0380
```

VASP calculation (PBE) on AgAsOs2Pb after structural relaxation. Values from VASP.

## Properties
ΔH_f (0 K): 1.3994 eV per atom

```
&SYSTEM
  ibrav = 0, nat = 5, ntyp = 4
/
ATOMIC_SPECIES
As 74.92 As.upf
Os 190.23 Os.upf
Pb 207.20 Pb.upf
Ag 107.87 Ag.upf
CELL_PARAMETERS angstrom
4.5776 0.0000 0.0000
0.0000 5.5280 0.0000
0.0000 0.0000 4.5776
ATOMIC_POSITIONS angstrom
As 0.0000 0.0000 0.0000
Os 2.2888 0.0000 0.0000
Pb 0.0000 2.7640 0.0000
Ag 2.2888 2.7640 2.2888
Os 0.0000 0.0000 2.2888
```

VASP calculation (PBE) on SnGeAsHIr after structural relaxation. Values from VASP.

## Properties
polymorph energy (0 for the lowest one): 1.13 kcal/mol of atoms

```
&SYSTEM
  ibrav = 0, nat = 5, ntyp = 5
/
ATOMIC_SPECIES
H 1.01 H.upf
As 74.92 As.upf
Ir 192.22 Ir.upf
Ge 72.64 Ge.upf
Sn 118.71 Sn.upf
CELL_PARAMETERS angstrom
-1.6433 -4.2057 -1.1525
0.6454 -1.3702 4.0798
-3.2209 3.3481 1.6339
ATOMIC_POSITIONS angstrom
H -4.3918 0.3386 0.8084
As -3.0515 2.2045 3.5441
Ir -1.2854 -1.4683 -0.2898
Ge -2.1192 -2.7969 1.7169
Sn -2.1591 0.8774 0.6362
```

VASP calculation (PBE) on Ta3Pb2 after structural relaxation. Values from VASP.

## Properties
ΔH_f (0 K): 0.5065 eV per atom
polymorph energy (0 for the lowest one): 0.00 kcal/mol of atoms

```
&SYSTEM
  ibrav = 0, nat = 10, ntyp = 2
/
ATOMIC_SPECIES
Pb 207.20 Pb.upf
Ta 180.95 Ta.upf
CELL_PARAMETERS angstrom
0.0000 5.0705 7.3004
2.8581 0.0000 7.3004
2.8581 5.0705 0.0000
ATOMIC_POSITIONS angstrom
Pb 3.5971 5.5326 11.7160
Pb 3.5971 4.6084 2.8849
Ta 4.9567 7.1136 9.4351
Ta 3.5277 5.5627 5.7849
Ta 3.5277 4.5783 8.8160
Pb 2.1681 2.9973 6.5351
Ta 4.9567 8.0979 12.4662
Ta 1.4697 2.5353 3.6502
Ta 0.0407 5.0705 7.3004
Pb 2.1681 7.1437 8.0658
```

VASP calculation (PBE) on PmNp2VN4 after structural relaxation. Values from VASP.

## Properties
formation energy (no corrections): -103.7 kJ/mol of atoms

```
&SYSTEM
  ibrav = 0, nat = 16, ntyp = 4
/
ATOMIC_SPECIES
Pm 145.00 Pm.upf
V 50.94 V.upf
N 14.01 N.upf
Np 237.00 Np.upf
CELL_PARAMETERS angstrom
3.4007 0.0000 0.0000
-1.7004 5.7788 0.0000
0.0000 0.0000 11.5160
ATOMIC_POSITIONS angstrom
Pm 0.0000 1.1805 8.6370
V 1.7004 3.9185 8.6370
N 0.0000 3.0875 4.3581
Pm 1.7004 4.5983 2.8790
N 0.0000 5.0631 8.6370
Np 0.0000 4.2565 10.9570
N 1.7004 2.6913 10.1161
V 0.0000 1.8603 2.8790
N 0.0000 3.0875 1.3999
N 0.0000 0.0000 5.7580
Np 0.0000 4.2565 6.3169
Np 1.7004 1.5223 0.5589
N 1.7004 2.6913 7.1578
Np 1.7004 1.5223 5.1991
N 1.7004 0.7157 2.8790
N 0.0000 0.0000 0.0000
```